The following is a DFT calculation (PBE-GGA) of a relaxed structure of HRhO3.

a b c (Å): 3.789 3.789 3.789
angles (deg): 90.00 90.00 90.00
Fractional coordinates of all 5 atoms:
H: 0.000 0.000 0.000
Rh: 0.500 0.500 0.500
O: 0.000 0.500 0.500
O: 0.500 0.000 0.500
O: 0.500 0.500 0.000

Values from the calculation:
total magnetization: 0.09 μB per atom
space-group type: Pm-3m, No. 221
calculated volume: 10.9 Å³ per atom
calculated total energy: -4.673 eV per atom